(P)
Computed, not measured: Pm2PdN after structural relaxation at the GGA-PBE level of DFT.

abc: 3.688 3.688 21.087
angles: 90.00 90.00 120.00
Atoms (fractional coordinates):
Pm: 0.000 0.000 0.234
Pm: 0.000 0.000 0.766
Pm: 0.333 0.667 0.433
Pm: 0.333 0.667 0.900
Pm: 0.667 0.333 0.100
Pm: 0.667 0.333 0.567
Pd: 0.000 0.000 0.000
Pd: 0.333 0.667 0.667
Pd: 0.667 0.333 0.333
N: 0.000 0.000 0.500
N: 0.333 0.667 0.167
N: 0.667 0.333 0.833

Results
For the magnetic moment, the calculation gives 0.00 μB per atom.

(Q)
Computed, not measured: Pm2PdN after structural relaxation at the GGA-PBE level of DFT.

abc: 3.263 3.263 7.004
angles: 90.00 90.00 90.00
Atoms (fractional coordinates):
Pm: 0.000 0.000 0.211
Pm: 0.000 0.000 0.789
Pd: 0.500 0.500 0.500
N: 0.500 0.500 0.000

Results
For the magnetic moment, the calculation gives 0.00 μB per atom.

Most stable pick: (P). Distance to second place: 333 meV per atom.

(P)
Computed, not measured: Pd3PtN after structural relaxation at the GGA-PBE level of DFT.

abc: 4.870 4.870 4.870
angles: 90.00 90.00 90.00
Atoms (fractional coordinates):
Pd: 0.000 0.000 0.500
Pd: 0.000 0.500 0.000
Pd: 0.500 0.000 0.000
Pt: 0.000 0.000 0.000
N: 0.500 0.500 0.500

Results
For the magnetic moment, the calculation gives 0.00 μB per atom.

(Q)
Computed, not measured: Pd3PtN after structural relaxation at the GGA-PBE level of DFT.

abc: 4.137 4.137 4.137
angles: 90.00 90.00 90.00
Atoms (fractional coordinates):
Pd: 0.000 0.000 0.500
Pd: 0.000 0.500 0.000
Pd: 0.500 0.000 0.000
Pt: 0.500 0.500 0.500
N: 0.000 0.000 0.000

Results
For the magnetic moment, the calculation gives 0.00 μB per atom.

Most stable pick: (Q). Distance to second place: 1914 meV per atom.

(P)
Computed, not measured: PdPt3N after structural relaxation at the GGA-PBE level of DFT.

abc: 4.175 4.175 4.175
angles: 90.00 90.00 90.00
Atoms (fractional coordinates):
Pd: 0.000 0.000 0.000
Pt: 0.000 0.500 0.500
Pt: 0.500 0.000 0.500
Pt: 0.500 0.500 0.000
N: 0.500 0.500 0.500

Results
For the magnetic moment, the calculation gives 0.00 μB per atom.

(Q)
Computed, not measured: PdPt3N after structural relaxation at the GGA-PBE level of DFT.

abc: 4.893 4.893 4.893
angles: 90.00 90.00 90.00
Atoms (fractional coordinates):
Pd: 0.000 0.000 0.000
Pt: 0.000 0.000 0.500
Pt: 0.000 0.500 0.000
Pt: 0.500 0.000 0.000
N: 0.500 0.500 0.500

Results
For the magnetic moment, the calculation gives 0.74 μB per atom.

Most stable pick: (P). Distance to second place: 1985 meV per atom.

(P)
Computed, not measured: Sr2PdPtN after structural relaxation at the GGA-PBE level of DFT.

abc: 5.424 5.424 3.822
angles: 90.00 90.00 90.00
Atoms (fractional coordinates):
Sr: 0.000 0.500 0.000
Sr: 0.500 0.000 0.000
Pd: 0.000 0.000 0.500
Pt: 0.500 0.500 0.500
N: 0.500 0.500 0.000

Results
For the magnetic moment, the calculation gives 0.00 μB per atom.

(Q)
Computed, not measured: Sr2PdPtN after structural relaxation at the GGA-PBE level of DFT.

abc: 5.333 5.333 3.883
angles: 90.00 90.00 90.00
Atoms (fractional coordinates):
Sr: 0.000 0.500 0.000
Sr: 0.500 0.000 0.000
Pd: 0.000 0.000 0.500
Pt: 0.500 0.500 0.500
N: 0.000 0.000 0.000

Results
For the magnetic moment, the calculation gives 0.00 μB per atom.

Most stable pick: (P). Distance to second place: 62 meV per atom.

(P)
Computed, not measured: Pu2PdN after structural relaxation at the GGA-PBE level of DFT.

abc: 3.437 3.437 22.260
angles: 90.00 90.00 120.00
Atoms (fractional coordinates):
Pu: 0.000 0.000 0.231
Pu: 0.000 0.000 0.769
Pu: 0.333 0.667 0.436
Pu: 0.333 0.667 0.897
Pu: 0.667 0.333 0.103
Pu: 0.667 0.333 0.564
Pd: 0.000 0.000 0.000
Pd: 0.333 0.667 0.667
Pd: 0.667 0.333 0.333
N: 0.000 0.000 0.500
N: 0.333 0.667 0.167
N: 0.667 0.333 0.833

Results
For the magnetic moment, the calculation gives 2.80 μB per atom.

(Q)
Computed, not measured: Pu2PdN after structural relaxation at the GGA-PBE level of DFT.

abc: 3.103 3.103 7.245
angles: 90.00 90.00 90.00
Atoms (fractional coordinates):
Pu: 0.000 0.000 0.196
Pu: 0.000 0.000 0.804
Pd: 0.500 0.500 0.500
N: 0.500 0.500 0.000

Results
For the magnetic moment, the calculation gives 2.81 μB per atom.

Most stable pick: (P). Distance to second place: 182 meV per atom.

(P)
Computed, not measured: PuPdN after structural relaxation at the GGA-PBE level of DFT.

abc: 4.035 4.035 6.673
angles: 90.00 90.00 90.00
Atoms (fractional coordinates):
Pu: 0.000 0.000 0.000
Pu: 0.500 0.500 0.500
Pd: 0.000 0.000 0.395
Pd: 0.500 0.500 0.895
N: 0.000 0.000 0.703
N: 0.500 0.500 0.203

Results
For the magnetic moment, the calculation gives 1.62 μB per atom.

(Q)
Computed, not measured: PuPdN after structural relaxation at the GGA-PBE level of DFT.

abc: 8.530 8.530 8.530
angles: 25.73 25.73 25.73
Atoms (fractional coordinates):
Pu: 0.110 0.110 0.110
Pu: 0.890 0.890 0.890
Pd: 0.362 0.362 0.362
Pd: 0.638 0.638 0.638
N: 0.201 0.201 0.201
N: 0.799 0.799 0.799

Results
For the magnetic moment, the calculation gives 1.40 μB per atom.

Most stable pick: (Q). Distance to second place: 652 meV per atom.